[1]
Entry from Alexandria via LeMat-Bulk: HoEr3O6 after structural relaxation (PBE).

a = 6.6672 Å, b = 6.6672 Å, c = 6.6672 Å
α = 91.50°, β = 91.50°, γ = 91.50°
With the nearest neighbours (Å) after each atom.
Positions (direct):
Ho  0.0000  0.0000  0.0000  6 O 2.26
Ho  0.5000  0.5000  0.5000  6 O 2.23
Er  0.4440  0.9361  0.7486  6 O 2.20-2.35
Er  0.9361  0.7486  0.4440  6 O 2.20-2.35
Er  0.2514  0.5560  0.0639  6 O 2.20-2.35
Er  0.7486  0.4440  0.9361  6 O 2.20-2.35
Er  0.0639  0.2514  0.5560  6 O 2.20-2.35
Er  0.5560  0.0639  0.2514  6 O 2.20-2.35
O  0.3166  0.9042  0.0719  3 Er 2.20-2.35, 1 Ho 2.26
O  0.0958  0.9281  0.6834  3 Er 2.20-2.35, 1 Ho 2.26
O  0.6025  0.8186  0.4705  1 Ho 2.23, 3 Er 2.24-2.29
O  0.9281  0.6834  0.0958  3 Er 2.20-2.35, 1 Ho 2.26
O  0.4705  0.6025  0.8186  1 Ho 2.23, 3 Er 2.24-2.29
O  0.1814  0.5295  0.3975  1 Ho 2.23, 3 Er 2.24-2.29
O  0.8186  0.4705  0.6025  1 Ho 2.23, 3 Er 2.24-2.29
O  0.5295  0.3975  0.1814  1 Ho 2.23, 3 Er 2.24-2.29
O  0.0719  0.3166  0.9042  3 Er 2.20-2.35, 1 Ho 2.26
O  0.3975  0.1814  0.5295  1 Ho 2.23, 3 Er 2.24-2.29
O  0.9042  0.0719  0.3166  3 Er 2.20-2.35, 1 Ho 2.26
O  0.6834  0.0958  0.9281  3 Er 2.20-2.35, 1 Ho 2.26

Values from the calculation:
DOS(E_F) ... 0.0 states/eV per cell
Energy above the lowest structure with this stoichiometry ... 0 meV/atom

---

[2]
Entry from Alexandria via LeMat-Bulk: HoErO3 after structural relaxation (PBE).

a = 3.0268 Å, b = 5.9124 Å, c = 5.9126 Å
α = 60.00°, β = 90.00°, γ = 90.00°
With the nearest neighbours (Å) after each atom.
Positions (direct):
Ho  0.2202  0.0994  0.0622  6 O 2.29
Er  0.2202  0.4328  0.3955  6 O 2.28
O  0.7201  0.2669  0.7276  2 Er 2.28, 2 Ho 2.29
O  0.7202  0.2665  0.2296  2 Er 2.28, 2 Ho 2.29
O  0.7202  0.7649  0.2292  2 Er 2.28, 2 Ho 2.29

Values from the calculation:
DOS(E_F) ... 0.0 states/eV per cell

---

[3]
Entry from Alexandria via LeMat-Bulk: HoEr2O after structural relaxation (PBE).

a = 3.1714 Å, b = 3.1714 Å, c = 8.5723 Å
α = 90.00°, β = 90.00°, γ = 90.00°
With the nearest neighbours (Å) after each atom.
Positions (direct):
Ho  0.5000  0.5000  0.5000  4 Ho 3.17
O  0.5000  0.5000  0.0000  8 Er 2.71
Er  0.0000  0.0000  0.8216  4 O 2.71
Er  0.0000  0.0000  0.1784  4 O 2.71

Values from the calculation:
DOS(E_F) ... 5.1 states/eV per cell
Energy above the lowest structure with this stoichiometry ... 533 meV/atom

---

[4]
Entry from Alexandria via LeMat-Bulk: HoEr3O after structural relaxation (PBE).

a = 4.8871 Å, b = 4.8871 Å, c = 4.8871 Å
α = 90.00°, β = 90.00°, γ = 90.00°
With the nearest neighbours (Å) after each atom.
Positions (direct):
Ho  0.5000  0.5000  0.5000  12 Er 3.46
O  0.0000  0.0000  0.0000  6 Er 2.44
Er  0.0000  0.5000  0.0000  2 O 2.44
Er  0.0000  0.0000  0.5000  2 O 2.44
Er  0.5000  0.0000  0.0000  2 O 2.44

Values from the calculation:
DOS(E_F) ... 4.5 states/eV per cell

---

[5]
Entry from Alexandria via LeMat-Bulk: HoEr2O after structural relaxation (PBE).

a = 3.4779 Å, b = 3.4779 Å, c = 8.8199 Å
α = 78.63°, β = 78.63°, γ = 60.00°
With the nearest neighbours (Å) after each atom.
Positions (direct):
Ho  0.5000  0.5000  0.5000  6 Ho 3.48, 6 Er 3.55
O  0.0000  0.0000  0.0000  6 Er 2.43
Er  0.2804  0.2804  0.1587  3 O 2.43
Er  0.7196  0.7196  0.8413  3 O 2.43

Values from the calculation:
DOS(E_F) ... 4.7 states/eV per cell
Energy above the lowest structure with this stoichiometry ... 0 meV/atom

---

[6]
Entry from Alexandria via LeMat-Bulk: HoErO3 after structural relaxation (PBE).

a = 5.5733 Å, b = 5.5733 Å, c = 6.3111 Å
α = 63.80°, β = 63.80°, γ = 60.00°
With the nearest neighbours (Å) after each atom.
Positions (direct):
Ho  0.3538  0.3538  0.9384  6 O 2.23-2.36
Ho  0.6462  0.6462  0.0616  6 O 2.23-2.36
Er  0.1471  0.1471  0.5587  6 O 2.23-2.34
Er  0.8529  0.8529  0.4413  6 O 2.23-2.34
O  0.2478  0.9571  0.2505  2 Er 2.23-2.34, 2 Ho 2.23-2.36
O  0.9571  0.5446  0.2505  2 Er 2.23-2.34, 2 Ho 2.23-2.36
O  0.5446  0.2478  0.2505  2 Er 2.23-2.34, 2 Ho 2.23-2.36
O  0.7522  0.4554  0.7495  2 Er 2.23-2.34, 2 Ho 2.23-2.36
O  0.0429  0.7522  0.7495  2 Er 2.23-2.34, 2 Ho 2.23-2.36
O  0.4554  0.0429  0.7495  2 Er 2.23-2.34, 2 Ho 2.23-2.36

Values from the calculation:
DOS(E_F) ... 0.0 states/eV per cell

---

[7]
Entry from Alexandria via LeMat-Bulk: Ho3ErO after structural relaxation (PBE).

a = 4.9022 Å, b = 4.9022 Å, c = 4.9022 Å
α = 90.00°, β = 90.00°, γ = 90.00°
With the nearest neighbours (Å) after each atom.
Positions (direct):
Ho  0.0000  0.5000  0.0000  2 O 2.45
Ho  0.0000  0.0000  0.5000  2 O 2.45
Ho  0.5000  0.0000  0.0000  2 O 2.45
O  0.0000  0.0000  0.0000  6 Ho 2.45
Er  0.5000  0.5000  0.5000  12 Ho 3.47

Values from the calculation:
DOS(E_F) ... 4.7 states/eV per cell

---

[8]
Entry from Alexandria via LeMat-Bulk: HoErO3 after structural relaxation (PBE).

a = 4.2423 Å, b = 4.2423 Å, c = 4.2423 Å
α = 90.00°, β = 90.00°, γ = 90.00°
With the nearest neighbours (Å) after each atom.
Positions (direct):
Ho  0.0000  0.0000  0.0000  12 O 3.00
Er  0.5000  0.5000  0.5000  6 O 2.12
O  0.5000  0.5000  0.0000  2 Er 2.12
O  0.5000  0.0000  0.5000  2 Er 2.12
O  0.0000  0.5000  0.5000  2 Er 2.12

---

Ordered final energy results: -8.4038, -8.2232, -5.4903, -5.7412, -6.0237, -8.2285, -5.7539, -7.5211; unit eV/atom.